i.
Entry from Alexandria via LeMat-Bulk: crystalline Nd2PaGe at its relaxed geometry (GGA-PBE).

DOS at the Fermi energy = 6.4 states/eV/cell
Space-group type = R-3m, No. 166

a = 11.750 Å, b = 11.750 Å, c = 11.750 Å
α = 16.12°, β = 16.12°, γ = 16.12°
Fractional positions:
Nd1 0.094 0.094 0.094
Nd2 0.906 0.906 0.906
Pa1 0.000 0.000 0.000
Ge1 0.500 0.500 0.500

ii.
Entry from Alexandria via LeMat-Bulk: crystalline Nd2PaGe at its relaxed geometry (GGA-PBE).

DOS at the Fermi energy = 5.0 states/eV/cell
Space-group type = P4/mmm, No. 123

a = 4.789 Å, b = 4.789 Å, c = 4.540 Å
α = 90.00°, β = 90.00°, γ = 90.00°
Fractional positions:
Nd1 0.000 0.500 0.000
Nd2 0.500 0.000 0.000
Pa1 0.000 0.000 0.500
Ge1 0.500 0.500 0.500

Stability summary: most stable ii, least stable i.

i.
Entry from Alexandria via LeMat-Bulk: crystalline NdGe3Pd2 at its relaxed geometry (GGA-PBE).

DOS at the Fermi energy = 8.1 states/eV/cell
Space-group type = Cmcm, No. 63

a = 6.340 Å, b = 6.340 Å, c = 6.178 Å
α = 90.00°, β = 90.00°, γ = 98.60°
Fractional positions:
Nd1 0.191 0.809 0.750
Nd2 0.809 0.191 0.250
Ge1 0.026 0.278 0.750
Ge2 0.278 0.026 0.250
Ge3 0.360 0.640 0.250
Ge4 0.640 0.360 0.750
Ge5 0.722 0.974 0.750
Ge6 0.974 0.722 0.250
Pd1 0.325 0.325 0.000
Pd2 0.325 0.325 0.500
Pd3 0.675 0.675 0.000
Pd4 0.675 0.675 0.500

ii.
Entry from Alexandria via LeMat-Bulk: crystalline NdGe3Pd2 at its relaxed geometry (GGA-PBE).

DOS at the Fermi energy = 6.5 states/eV/cell
Space-group type = I4/mmm, No. 139

a = 13.059 Å, b = 13.059 Å, c = 13.059 Å
α = 160.99°, β = 160.99°, γ = 27.01°
Fractional positions:
Nd1 0.150 0.150 0.000
Nd2 0.850 0.850 0.000
Ge1 0.049 0.549 0.500
Ge2 0.303 0.303 0.000
Ge3 0.451 0.951 0.500
Ge4 0.549 0.049 0.500
Ge5 0.697 0.697 0.000
Ge6 0.951 0.451 0.500
Pd1 0.250 0.750 0.500
Pd2 0.401 0.401 0.000
Pd3 0.599 0.599 0.000
Pd4 0.750 0.250 0.500

Stability summary: most stable ii, least stable i.

i.
Entry from Alexandria via LeMat-Bulk: crystalline Nd2Ge3Pd2 at its relaxed geometry (GGA-PBE).

DOS at the Fermi energy = 3.8 states/eV/cell
Space-group type = C2/m, No. 12

a = 5.625 Å, b = 5.625 Å, c = 6.738 Å
α = 107.39°, β = 107.39°, γ = 45.99°
Fractional positions:
Nd1 0.153 0.153 0.283
Nd2 0.847 0.847 0.717
Ge1 0.393 0.393 0.058
Ge2 0.500 0.500 0.500
Ge3 0.607 0.607 0.942
Pd1 0.146 0.146 0.767
Pd2 0.854 0.854 0.233

ii.
Entry from Alexandria via LeMat-Bulk: crystalline Nd2Ge3Pd2 at its relaxed geometry (GGA-PBE).

DOS at the Fermi energy = 6.4 states/eV/cell
Space-group type = Cmcm, No. 63

a = 9.559 Å, b = 9.559 Å, c = 7.135 Å
α = 90.00°, β = 90.00°, γ = 153.80°
Fractional positions:
Nd1 0.054 0.946 0.750
Nd2 0.156 0.844 0.250
Nd3 0.844 0.156 0.750
Nd4 0.946 0.054 0.250
Ge1 0.223 0.777 0.750
Ge2 0.438 0.562 0.567
Ge3 0.438 0.562 0.933
Ge4 0.562 0.438 0.067
Ge5 0.562 0.438 0.433
Ge6 0.777 0.223 0.250
Pd1 0.305 0.695 0.050
Pd2 0.305 0.695 0.450
Pd3 0.695 0.305 0.550
Pd4 0.695 0.305 0.950

Stability summary: most stable ii, least stable i.

i.
Entry from Alexandria via LeMat-Bulk: crystalline PrNdGePd at its relaxed geometry (GGA-PBE).

DOS at the Fermi energy = 1.8 states/eV/cell
Space-group type = Amm2, No. 38

a = 4.383 Å, b = 5.996 Å, c = 5.996 Å
α = 40.48°, β = 90.00°, γ = 90.00°
Fractional positions:
Pr1 0.000 0.000 0.000
Nd1 0.500 0.724 0.724
Ge1 0.500 0.440 0.440
Pd1 0.000 0.284 0.284

ii.
Entry from Alexandria via LeMat-Bulk: crystalline PrNdGePd at its relaxed geometry (GGA-PBE).

DOS at the Fermi energy = 1.8 states/eV/cell
Space-group type = F-43m, No. 216

a = 5.204 Å, b = 5.204 Å, c = 5.204 Å
α = 60.00°, β = 60.00°, γ = 60.00°
Fractional positions:
Pr1 0.000 0.000 0.000
Nd1 0.500 0.500 0.500
Ge1 0.250 0.250 0.250
Pd1 0.750 0.750 0.750

Stability summary: most stable i, least stable ii.

i.
Entry from Alexandria via LeMat-Bulk: crystalline NdYGePd at its relaxed geometry (GGA-PBE).

DOS at the Fermi energy = 2.2 states/eV/cell
Space-group type = Amm2, No. 38

a = 4.352 Å, b = 5.867 Å, c = 5.867 Å
α = 40.31°, β = 90.00°, γ = 90.00°
Fractional positions:
Nd1 0.000 0.000 0.000
Y1 0.500 0.723 0.723
Ge1 0.500 0.437 0.437
Pd1 0.000 0.279 0.279

ii.
Entry from Alexandria via LeMat-Bulk: crystalline NdYGePd at its relaxed geometry (GGA-PBE).

DOS at the Fermi energy = 2.0 states/eV/cell
Space-group type = F-43m, No. 216

a = 5.107 Å, b = 5.107 Å, c = 5.107 Å
α = 60.00°, β = 60.00°, γ = 60.00°
Fractional positions:
Nd1 0.000 0.000 0.000
Y1 0.500 0.500 0.500
Ge1 0.750 0.750 0.750
Pd1 0.250 0.250 0.250

Stability summary: most stable i, least stable ii.

i.
Entry from Alexandria via LeMat-Bulk: crystalline Pm2NdGe2 at its relaxed geometry (GGA-PBE).

DOS at the Fermi energy = 11.4 states/eV/cell
Space-group type = P4/mbm, No. 127

a = 7.882 Å, b = 7.882 Å, c = 4.299 Å
α = 90.00°, β = 90.00°, γ = 90.00°
Fractional positions:
Pm1 0.173 0.327 0.000
Pm2 0.327 0.827 0.000
Pm3 0.673 0.173 0.000
Pm4 0.827 0.673 0.000
Nd1 0.000 0.000 0.500
Nd2 0.500 0.500 0.500
Ge1 0.121 0.621 0.500
Ge2 0.379 0.121 0.500
Ge3 0.621 0.879 0.500
Ge4 0.879 0.379 0.500

ii.
Entry from Alexandria via LeMat-Bulk: crystalline Pm2NdGe2 at its relaxed geometry (GGA-PBE).

DOS at the Fermi energy = 5.7 states/eV/cell
Space-group type = P2_1/m, No. 11

a = 6.276 Å, b = 5.133 Å, c = 8.894 Å
α = 90.00°, β = 90.01°, γ = 90.00°
Fractional positions:
Pm1 0.189 0.250 0.084
Pm2 0.190 0.750 0.583
Pm3 0.810 0.250 0.417
Pm4 0.811 0.750 0.916
Nd1 0.499 0.250 0.751
Nd2 0.501 0.750 0.249
Ge1 0.293 0.250 0.417
Ge2 0.293 0.750 0.917
Ge3 0.707 0.250 0.083
Ge4 0.707 0.750 0.583

Stability summary: most stable i, least stable ii.

i.
Entry from Alexandria via LeMat-Bulk: crystalline Pm2Nd3Ge4 at its relaxed geometry (GGA-PBE).

DOS at the Fermi energy = 6.7 states/eV/cell
Space-group type = C2/m, No. 12

a = 6.195 Å, b = 6.195 Å, c = 9.892 Å
α = 98.19°, β = 98.19°, γ = 42.58°
Fractional positions:
Pm1 0.179 0.179 0.314
Pm2 0.821 0.821 0.686
Nd1 0.120 0.120 0.899
Nd2 0.500 0.500 0.500
Nd3 0.880 0.880 0.101
Ge1 0.152 0.152 0.613
Ge2 0.410 0.410 0.892
Ge3 0.590 0.590 0.108
Ge4 0.848 0.848 0.387

ii.
Entry from Alexandria via LeMat-Bulk: crystalline Pm2Nd3Ge4 at its relaxed geometry (GGA-PBE).

DOS at the Fermi energy = 12.9 states/eV/cell
Space-group type = P2_1/c, No. 14

a = 8.236 Å, b = 8.047 Å, c = 7.876 Å
α = 90.00°, β = 112.62°, γ = 90.00°
Fractional positions:
Pm1 0.232 0.164 0.221
Pm2 0.232 0.336 0.721
Pm3 0.768 0.664 0.279
Pm4 0.768 0.836 0.779
Nd1 0.203 0.680 0.064
Nd2 0.203 0.820 0.564
Nd3 0.500 0.000 0.000
Nd4 0.500 0.500 0.500
Nd5 0.797 0.180 0.436
Nd6 0.797 0.320 0.936
Ge1 0.089 0.032 0.820
Ge2 0.089 0.468 0.320
Ge3 0.494 0.625 0.878
Ge4 0.494 0.875 0.378
Ge5 0.506 0.125 0.622
Ge6 0.506 0.375 0.122
Ge7 0.911 0.532 0.680
Ge8 0.911 0.968 0.180

Stability summary: most stable ii, least stable i.

i.
Entry from Alexandria via LeMat-Bulk: crystalline PmNdGe at its relaxed geometry (GGA-PBE).

DOS at the Fermi energy = 7.6 states/eV/cell
Space-group type = P2_1/m, No. 11

a = 4.496 Å, b = 4.460 Å, c = 8.426 Å
α = 90.00°, β = 90.02°, γ = 90.00°
Fractional positions:
Pm1 0.249 0.250 0.361
Pm2 0.751 0.750 0.639
Nd1 0.251 0.750 0.017
Nd2 0.749 0.250 0.983
Ge1 0.250 0.250 0.722
Ge2 0.750 0.750 0.278

ii.
Entry from Alexandria via LeMat-Bulk: crystalline PmNdGe at its relaxed geometry (GGA-PBE).

DOS at the Fermi energy = 11.1 states/eV/cell
Space-group type = P-62m, No. 189

a = 8.186 Å, b = 8.186 Å, c = 4.314 Å
α = 90.00°, β = 90.00°, γ = 120.00°
Fractional positions:
Pm1 0.000 0.265 0.000
Pm2 0.265 0.000 0.000
Pm3 0.735 0.735 0.000
Nd1 0.000 0.591 0.500
Nd2 0.409 0.409 0.500
Nd3 0.591 0.000 0.500
Ge1 0.000 0.000 0.500
Ge2 0.333 0.667 0.000
Ge3 0.667 0.333 0.000

iii.
Entry from Alexandria via LeMat-Bulk: crystalline PmNdGe at its relaxed geometry (GGA-PBE).

DOS at the Fermi energy = 1.8 states/eV/cell
Space-group type = P3m1, No. 156

a = 4.796 Å, b = 4.796 Å, c = 4.317 Å
α = 90.00°, β = 90.00°, γ = 120.00°
Fractional positions:
Pm1 0.000 0.000 0.000
Nd1 0.667 0.333 0.459
Ge1 0.333 0.667 0.784

Stability summary: most stable ii, least stable iii.

i.
Entry from Alexandria via LeMat-Bulk: crystalline Pm3Nd2Ge4 at its relaxed geometry (GGA-PBE).

DOS at the Fermi energy = 12.5 states/eV/cell
Space-group type = P2_1/c, No. 14

a = 8.225 Å, b = 8.030 Å, c = 7.868 Å
α = 90.00°, β = 112.62°, γ = 90.00°
Fractional positions:
Pm1 0.000 0.000 0.000
Pm2 0.000 0.500 0.500
Pm3 0.268 0.163 0.779
Pm4 0.268 0.337 0.279
Pm5 0.732 0.663 0.721
Pm6 0.732 0.837 0.221
Nd1 0.297 0.680 0.937
Nd2 0.297 0.820 0.437
Nd3 0.703 0.180 0.563
Nd4 0.703 0.320 0.063
Ge1 0.006 0.626 0.123
Ge2 0.006 0.874 0.623
Ge3 0.410 0.032 0.179
Ge4 0.410 0.468 0.679
Ge5 0.590 0.532 0.321
Ge6 0.590 0.968 0.821
Ge7 0.994 0.126 0.377
Ge8 0.994 0.374 0.877

ii.
Entry from Alexandria via LeMat-Bulk: crystalline Pm3Nd2Ge4 at its relaxed geometry (GGA-PBE).

DOS at the Fermi energy = 10.0 states/eV/cell
Space-group type = Cmce, No. 64

a = 8.966 Å, b = 8.966 Å, c = 8.494 Å
α = 90.00°, β = 90.00°, γ = 133.34°
Fractional positions:
Pm1 0.000 0.000 0.000
Pm2 0.045 0.455 0.250
Pm3 0.455 0.045 0.750
Pm4 0.500 0.500 0.500
Pm5 0.545 0.955 0.250
Pm6 0.955 0.545 0.750
Nd1 0.107 0.893 0.405
Nd2 0.393 0.607 0.905
Nd3 0.607 0.393 0.095
Nd4 0.893 0.107 0.595
Ge1 0.189 0.811 0.057
Ge2 0.222 0.278 0.250
Ge3 0.278 0.222 0.750
Ge4 0.311 0.689 0.557
Ge5 0.689 0.311 0.443
Ge6 0.722 0.778 0.250
Ge7 0.778 0.722 0.750
Ge8 0.811 0.189 0.943

Stability summary: most stable i, least stable ii.

i.
Entry from Alexandria via LeMat-Bulk: crystalline PmNd2Ge at its relaxed geometry (GGA-PBE).

DOS at the Fermi energy = 5.5 states/eV/cell
Space-group type = P4/mmm, No. 123

a = 4.023 Å, b = 4.023 Å, c = 7.192 Å
α = 90.00°, β = 90.00°, γ = 90.00°
Fractional positions:
Pm1 0.000 0.000 0.000
Nd1 0.500 0.500 0.293
Nd2 0.500 0.500 0.707
Ge1 0.000 0.000 0.500

ii.
Entry from Alexandria via LeMat-Bulk: crystalline PmNd2Ge at its relaxed geometry (GGA-PBE).

DOS at the Fermi energy = 6.1 states/eV/cell
Space-group type = R-3m, No. 166

a = 11.306 Å, b = 11.306 Å, c = 11.306 Å
α = 19.06°, β = 19.06°, γ = 19.06°
Fractional positions:
Pm1 0.000 0.000 0.000
Nd1 0.106 0.106 0.106
Nd2 0.894 0.894 0.894
Ge1 0.500 0.500 0.500

Stability summary: most stable i, least stable ii.

i.
Entry from Alexandria via LeMat-Bulk: crystalline PmNd2Ge at its relaxed geometry (GGA-PBE).

DOS at the Fermi energy = 4.3 states/eV/cell
Space-group type = P4/mmm, No. 123

a = 4.798 Å, b = 4.798 Å, c = 4.817 Å
α = 90.00°, β = 90.00°, γ = 90.00°
Fractional positions:
Pm1 0.000 0.000 0.000
Nd1 0.000 0.500 0.500
Nd2 0.500 0.000 0.500
Ge1 0.500 0.500 0.000

ii.
Entry from Alexandria via LeMat-Bulk: crystalline PmNd2Ge at its relaxed geometry (GGA-PBE).

DOS at the Fermi energy = 7.0 states/eV/cell
Space-group type = R3m, No. 160

a = 9.694 Å, b = 9.694 Å, c = 9.694 Å
α = 24.18°, β = 24.18°, γ = 24.18°
Fractional positions:
Pm1 0.000 0.000 0.000
Nd1 0.561 0.561 0.561
Nd2 0.770 0.770 0.770
Ge1 0.165 0.165 0.165

Stability summary: most stable i, least stable ii.